Below is a relaxed structure of KSn4Pb2, with properties calculated at the PBE level.

Cell: 10.288 10.288 4.700 Å, 90.00 90.00 152.53°
Element x y z (fractional)
K 0.000 0.000 0.000
Sn 0.183 0.817 0.500
Sn 0.307 0.693 0.000
Sn 0.693 0.307 0.000
Sn 0.817 0.183 0.500
Pb 0.417 0.583 0.500
Pb 0.583 0.417 0.500

Values from the calculation:
E_tot ... -24.6 eV for the cell shown
DOS(E_F) ... 0.544 states/eV/atom
Total magnetization ... 0.00 Bohr magnetons per cell
Formation energy ... -0.01 eV/atom